Tl3In2Pb8: optimized geometry, GGA-PBE.

Cell: 8.9335 8.9335 5.8324 Å, 105.16 105.16 70.58°
Closest atoms and distances in Å follow each position.
Fractional positions:
Tl1 0.0000 0.0000 0.0000  8 Pb 3.43-3.82, 4 Tl 3.76
Tl2 0.2296 0.7704 0.5000  6 Pb 3.37-3.65, 2 Tl 3.76
Tl3 0.7704 0.2296 0.5000  6 Pb 3.37-3.65, 2 Tl 3.76
In1 0.3332 0.3332 0.1621  8 Pb 3.12-3.47
In2 0.6668 0.6668 0.8379  8 Pb 3.12-3.47
Pb1 0.0438 0.5930 0.8087  2 In 3.25-3.47, 5 Pb 3.36-3.55, 1 Tl 3.43
Pb2 0.1732 0.1732 0.6272  1 In 3.24, 2 Tl 3.37, 5 Pb 3.48-3.56
Pb3 0.4070 0.9562 0.1913  2 In 3.25-3.47, 5 Pb 3.36-3.55, 1 Tl 3.43
Pb4 0.4272 0.4272 0.7238  3 In 3.12-3.34, 3 Pb 3.24-3.36, 2 Tl 3.39
Pb5 0.5728 0.5728 0.2762  3 In 3.12-3.34, 3 Pb 3.24-3.36, 2 Tl 3.39
Pb6 0.5930 0.0438 0.8087  2 In 3.25-3.47, 5 Pb 3.36-3.55, 1 Tl 3.43
Pb7 0.8268 0.8268 0.3728  1 In 3.24, 2 Tl 3.37, 5 Pb 3.48-3.56
Pb8 0.9562 0.4070 0.1913  2 In 3.25-3.47, 5 Pb 3.36-3.55, 1 Tl 3.43

Properties
formation energy from the elements: 0.79 eV/f.u.
SG: C2/m, No. 12
size of the total moment: 0.000 μB per atom
calculated volume: 415.9 Å³/cell
D(E_F): 0.518 states/eV per atom
energy above the lowest structure with this stoichiometry: 0.000 eV/atom